Model 1:
A plane-wave DFT calculation with PBE was carried out for UZn2Ga after structural relaxation.

Cell: 4.235 4.235 4.367 Å, 90.00 90.00 90.00°
Space group P4/mmm (No. 123)
Inequivalent atoms, fractional coordinates:
U (0.000, 0.000, 0.000) (multiplicity 1)
Zn (0.000, 0.500, 0.500) (multiplicity 2)
Ga (0.500, 0.500, 0.000) (multiplicity 1)

***

Model 2:
A plane-wave DFT calculation with PBE was carried out for UZn2Ga after structural relaxation.

Cell: 4.7214 4.7214 11.5901 Å, 90.00 90.00 120.00°
Space group R-3m (No. 166, hexagonal axes)
Inequivalent atoms, fractional coordinates:
U (0.0000, 0.0000, 0.0000) (multiplicity 3)
Zn (0.0000, 0.0000, 0.2497) (multiplicity 6)
Ga (0.0000, 0.0000, 0.5000) (multiplicity 3)

***

Pick model 1: it beats the second-best structure by 8 meV per atom.

***

Model 1:
A plane-wave DFT calculation with PBE was carried out for V5Ga after structural relaxation.

Cell: 4.243 12.363 3.110 Å, 90.00 90.00 90.00°
Space group Cmmm (No. 65)
Inequivalent atoms, fractional coordinates:
V (0.000, 0.000, 0.000) (multiplicity 2)
V (0.000, 0.162, 0.500) (multiplicity 4)
V (0.000, 0.324, 0.000) (multiplicity 4)
Ga (0.000, 0.500, 0.500) (multiplicity 2)

***

Model 2:
A plane-wave DFT calculation with PBE was carried out for V5Ga after structural relaxation.

Cell: 4.315 8.906 4.277 Å, 90.00 90.00 90.00°
Space group Cmmm (No. 65)
Inequivalent atoms, fractional coordinates:
V (0.000, 0.000, 0.000) (multiplicity 2)
V (0.000, 0.172, 0.500) (multiplicity 4)
V (0.000, 0.324, 0.000) (multiplicity 4)
Ga (0.000, 0.500, 0.500) (multiplicity 2)

***

Pick model 1: it beats the second-best structure by 43 meV per atom.

***

Model 1:
A plane-wave DFT calculation with PBE was carried out for V6Ga5 after structural relaxation.

Cell: 8.4700 8.4700 5.1232 Å, 90.00 90.00 120.00°
Space group P6_3/mmc (No. 194)
Inequivalent atoms, fractional coordinates:
V (0.0000, 0.5000, 0.0000) (multiplicity 6)
V (0.1562, 0.3125, 0.2500) (multiplicity 6)
Ga (0.0000, 0.0000, 0.0000) (multiplicity 2)
Ga (0.2035, 0.4071, 0.7500) (multiplicity 6)
Ga (0.3333, 0.6667, 0.2500) (multiplicity 2)

***

Model 2:
A plane-wave DFT calculation with PBE was carried out for V6Ga5 after structural relaxation.

Cell: 7.177 9.647 4.945 Å, 90.00 107.35 90.00°
Space group C2/m (No. 12)
Inequivalent atoms, fractional coordinates:
V (0.170, 0.000, 0.186) (multiplicity 4)
V (0.170, 0.128, 0.647) (multiplicity 8)
Ga (0.000, 0.232, 0.000) (multiplicity 4)
Ga (0.000, 0.367, 0.500) (multiplicity 4)
Ga (0.000, 0.500, 0.000) (multiplicity 2)

***

Pick model 1: it beats the second-best structure by 243 meV per atom.

***

Model 1:
A plane-wave DFT calculation with PBE was carried out for V8Ga after structural relaxation.

Cell: 8.938 8.938 3.069 Å, 90.00 90.00 90.00°
Space group I4/mmm (No. 139)
Inequivalent atoms, fractional coordinates:
V (0.000, 0.335, 0.000) (multiplicity 8)
V (0.171, 0.171, 0.500) (multiplicity 8)
Ga (0.000, 0.000, 0.000) (multiplicity 2)

***

Model 2:
A plane-wave DFT calculation with PBE was carried out for V8Ga after structural relaxation.

Cell: 4.272 8.955 12.769 Å, 90.00 90.00 90.00°
Space group Fmmm (No. 69)
Inequivalent atoms, fractional coordinates:
V (0.000, 0.000, 0.163) (multiplicity 8)
V (0.000, 0.167, 0.330) (multiplicity 16)
V (0.000, 0.177, 0.000) (multiplicity 8)
Ga (0.000, 0.000, 0.500) (multiplicity 4)

***

Pick model 1: it beats the second-best structure by 14 meV per atom.

***

Model 1:
A plane-wave DFT calculation with PBE was carried out for V5Ga4 after structural relaxation.

Cell: 8.658 8.658 3.424 Å, 90.00 90.00 90.00°
Space group I4/mmm (No. 139)
Inequivalent atoms, fractional coordinates:
V (0.000, 0.000, 0.000) (multiplicity 2)
V (0.172, 0.172, 0.500) (multiplicity 8)
Ga (0.000, 0.317, 0.000) (multiplicity 8)

***

Model 2:
A plane-wave DFT calculation with PBE was carried out for V5Ga4 after structural relaxation.

Cell: 8.686 8.686 3.351 Å, 90.00 90.00 90.00°
Space group I4/mmm (No. 139)
Inequivalent atoms, fractional coordinates:
V (0.000, 0.000, 0.000) (multiplicity 2)
V (0.000, 0.335, 0.000) (multiplicity 8)
Ga (0.168, 0.168, 0.500) (multiplicity 8)

***

Pick model 2: it beats the second-best structure by 17 meV per atom.

***

Model 1:
A plane-wave DFT calculation with PBE was carried out for V6GaW after structural relaxation.

Cell: 4.240 6.105 8.580 Å, 90.00 90.00 90.00°
Space group Amm2 (No. 38)
Inequivalent atoms, fractional coordinates:
V (0.000, 0.000, 0.000) (multiplicity 2)
V (0.000, 0.230, 0.744) (multiplicity 4)
V (0.500, 0.000, 0.745) (multiplicity 2)
V (0.500, 0.247, 0.994) (multiplicity 4)
Ga (0.500, 0.000, 0.244) (multiplicity 2)
W (0.000, 0.000, 0.486) (multiplicity 2)

***

Model 2:
A plane-wave DFT calculation with PBE was carried out for V6GaW after structural relaxation.

Cell: 4.820 4.820 4.820 Å, 90.00 90.00 90.00°
Space group Pm-3 (No. 200)
Inequivalent atoms, fractional coordinates:
V (0.000, 0.253, 0.500) (multiplicity 6)
Ga (0.000, 0.000, 0.000) (multiplicity 1)
W (0.500, 0.500, 0.500) (multiplicity 1)

***

Pick model 2: it beats the second-best structure by 9 meV per atom.